Entry 1:
Entry from Alexandria: Bi2MoO6 after structural relaxation (GGA-PBEsol).

Cell: 5.4977 16.2077 5.4779 Å, 90.00 90.00 90.00°
Last column: nearest neighbours and their distance in Å.
Positions (direct):
Bi  0.0212  0.0779  0.0000  5 O 2.22-2.47
Bi  0.0219  0.5781  0.5198  6 O 2.22-2.47
Bi  0.4781  0.5781  0.0198  6 O 2.22-2.47
Bi  0.4788  0.0779  0.5000  5 O 2.22-2.47
Bi  0.5212  0.9221  0.0000  5 O 2.22-2.47
Bi  0.5219  0.4219  0.5198  6 O 2.22-2.47
Bi  0.9781  0.4219  0.0198  6 O 2.22-2.47
Bi  0.9788  0.9221  0.5000  5 O 2.22-2.47
Mo  0.0074  0.2496  0.4980  4 O 1.77-1.85
Mo  0.4926  0.2496  0.9980  4 O 1.77-1.85
Mo  0.5074  0.7504  0.4980  4 O 1.77-1.85
Mo  0.9926  0.7504  0.9980  4 O 1.77-1.85
O  0.0745  0.1427  0.4005  1 Mo 1.85
O  0.0846  0.6439  0.9206  1 Mo 1.85
O  0.1938  0.7727  0.2404  1 Mo 1.77
O  0.2189  0.2724  0.1553  1 Mo 1.77
O  0.2426  0.4975  0.2461  4 Bi 2.22-2.47
O  0.2426  0.9975  0.7265  4 Bi 2.22-2.47
O  0.2574  0.4975  0.7461  4 Bi 2.22-2.47
O  0.2574  0.9975  0.2265  4 Bi 2.22-2.47
O  0.2811  0.2724  0.6553  1 Mo 1.77
O  0.3062  0.7727  0.7404  1 Mo 1.77
O  0.4154  0.6439  0.4206  1 Mo 1.85
O  0.4255  0.1427  0.9005  1 Mo 1.85
O  0.5745  0.8573  0.4005  1 Mo 1.85
O  0.5846  0.3561  0.9206  1 Mo 1.85
O  0.6938  0.2273  0.2404  1 Mo 1.77
O  0.7189  0.7276  0.1553  1 Mo 1.77
O  0.7426  0.0025  0.7265  4 Bi 2.22-2.47
O  0.7426  0.5025  0.2461  4 Bi 2.22-2.47
O  0.7574  0.0025  0.2265  4 Bi 2.22-2.47
O  0.7574  0.5025  0.7461  4 Bi 2.22-2.47
O  0.7811  0.7276  0.6553  1 Mo 1.77
O  0.8062  0.2273  0.7404  1 Mo 1.77
O  0.9154  0.3561  0.4206  1 Mo 1.85
O  0.9255  0.8573  0.9005  1 Mo 1.85

Output
space-group type = Pca2_1, No. 29
ΔE_f (raw) = -1663 meV per atom

Entry 2:
Entry from Alexandria: Bi2MoO6 after structural relaxation (GGA-PBEsol).

Cell: 5.3170 16.6518 5.3494 Å, 90.00 90.00 90.00°
Last column: nearest neighbours and their distance in Å.
Positions (direct):
Bi  0.0623  0.1718  0.0181  5 O 2.22-2.45
Bi  0.0623  0.3282  0.5181  5 O 2.22-2.45
Bi  0.4377  0.6718  0.0181  5 O 2.22-2.45
Bi  0.4377  0.8282  0.5181  5 O 2.22-2.45
Bi  0.5623  0.1718  0.4819  5 O 2.22-2.45
Bi  0.5623  0.3282  0.9819  5 O 2.22-2.45
Bi  0.9377  0.6718  0.4819  5 O 2.22-2.45
Bi  0.9377  0.8282  0.9819  5 O 2.22-2.45
Mo  0.0000  0.0000  0.5000  6 O 1.87-1.95
Mo  0.0000  0.5000  0.0000  6 O 1.87-1.95
Mo  0.5000  0.0000  0.0000  6 O 1.87-1.95
Mo  0.5000  0.5000  0.5000  6 O 1.87-1.95
O  0.0043  0.1103  0.4303  1 Mo 1.87
O  0.0043  0.3897  0.9303  1 Mo 1.87
O  0.2008  0.7485  0.7548  4 Bi 2.22-2.39
O  0.2008  0.7515  0.2548  4 Bi 2.22-2.39
O  0.2120  0.0166  0.7932  2 Mo 1.91-1.95
O  0.2120  0.4834  0.2932  2 Mo 1.91-1.95
O  0.2880  0.5166  0.7932  2 Mo 1.91-1.95
O  0.2880  0.9834  0.2932  2 Mo 1.91-1.95
O  0.2992  0.2485  0.7548  4 Bi 2.22-2.39
O  0.2992  0.2515  0.2548  4 Bi 2.22-2.39
O  0.4957  0.6103  0.4303  1 Mo 1.87
O  0.4957  0.8897  0.9303  1 Mo 1.87
O  0.5043  0.1103  0.0697  1 Mo 1.87
O  0.5043  0.3897  0.5697  1 Mo 1.87
O  0.7008  0.7485  0.7452  4 Bi 2.22-2.39
O  0.7008  0.7515  0.2452  4 Bi 2.22-2.39
O  0.7120  0.0166  0.7068  2 Mo 1.91-1.95
O  0.7120  0.4834  0.2068  2 Mo 1.91-1.95
O  0.7880  0.5166  0.7068  2 Mo 1.91-1.95
O  0.7880  0.9834  0.2068  2 Mo 1.91-1.95
O  0.7992  0.2485  0.7452  4 Bi 2.22-2.39
O  0.7992  0.2515  0.2452  4 Bi 2.22-2.39
O  0.9957  0.6103  0.0697  1 Mo 1.87
O  0.9957  0.8897  0.5697  1 Mo 1.87

Output
space-group type = Pbca, No. 61
ΔE_f (raw) = -1618 meV per atom

Entry 3:
Entry from Alexandria: BiMoPO2 after structural relaxation (GGA-PBEsol).

Cell: 4.0819 4.0819 5.4233 Å, 90.00 90.00 90.00°
Last column: nearest neighbours and their distance in Å.
Positions (direct):
Bi  0.0000  0.0000  0.0000  4 O 2.04
Mo  0.5000  0.5000  0.5000  4 P 2.89
P  0.0000  0.0000  0.5000  2 Bi 2.71, 4 Mo 2.89
O  0.0000  0.5000  0.0000  2 Bi 2.04
O  0.5000  0.0000  0.0000  2 Bi 2.04

Output
space-group type = P4/mmm, No. 123
ΔE_f (raw) = 541 meV per atom

Entry 4:
Entry from Alexandria: BiMo2PO after structural relaxation (GGA-PBEsol).

Cell: 4.7684 4.7684 3.4986 Å, 90.00 90.00 90.00°
Last column: nearest neighbours and their distance in Å.
Positions (direct):
Bi  0.0000  0.0000  0.0000  8 Mo 2.96
Mo  0.0000  0.5000  0.5000  2 P 2.38
Mo  0.5000  0.0000  0.5000  2 P 2.38
P  0.5000  0.5000  0.5000  2 O 1.75
O  0.5000  0.5000  0.0000  2 P 1.75

Output
space-group type = P4/mmm, No. 123
ΔE_f (raw) = 339 meV per atom

Entry 5:
Entry from Alexandria: Rb2BiMoPO8 after structural relaxation (GGA-PBEsol).

Cell: 12.4509 12.4509 12.4509 Å, 146.92 120.02 70.24°
Last column: nearest neighbours and their distance in Å.
Positions (direct):
Rb  0.0738  0.6923  0.4521  6 O 2.81-3.12
Rb  0.2401  0.1923  0.1184  6 O 2.81-3.12
Rb  0.2599  0.3783  0.9521  6 O 2.81-3.12
Rb  0.4262  0.8783  0.6184  6 O 2.81-3.12
Rb  0.5738  0.1217  0.3816  6 O 2.81-3.12
Rb  0.7401  0.6217  0.0479  6 O 2.81-3.12
Rb  0.7599  0.8077  0.8816  6 O 2.81-3.12
Rb  0.9262  0.3077  0.5479  6 O 2.81-3.12
Bi  0.1707  0.7500  0.9207  8 O 2.37-2.53
Bi  0.3293  0.2500  0.5793  8 O 2.37-2.53
Bi  0.6707  0.7500  0.4207  8 O 2.37-2.53
Bi  0.8293  0.2500  0.0793  8 O 2.37-2.53
Mo  0.0872  0.8372  0.2500  4 O 1.75-1.79
Mo  0.4128  0.6628  0.7500  4 O 1.75-1.79
Mo  0.5872  0.3372  0.2500  4 O 1.75-1.79
Mo  0.9128  0.1628  0.7500  4 O 1.75-1.79
P  0.0723  0.2500  0.3223  4 O 1.54-1.56
P  0.4277  0.7500  0.1777  4 O 1.54-1.56
P  0.5723  0.2500  0.8223  4 O 1.54-1.56
P  0.9277  0.7500  0.6777  4 O 1.54-1.56
O  0.0586  0.3363  0.2745  1 P 1.54
O  0.0619  0.8363  0.7778  1 P 1.54
O  0.0728  0.1542  0.8035  1 Mo 1.75
O  0.1048  0.6836  0.0164  1 Mo 1.79
O  0.1409  0.4085  0.5700  1 P 1.56
O  0.1493  0.7307  0.3035  1 Mo 1.75
O  0.1614  0.0915  0.2324  1 P 1.56
O  0.1672  0.0884  0.4836  1 Mo 1.79
O  0.3328  0.8164  0.9212  1 Mo 1.79
O  0.3386  0.5710  0.9300  1 P 1.56
O  0.3507  0.6542  0.5814  1 Mo 1.75
O  0.3591  0.9290  0.2676  1 P 1.56
O  0.3952  0.4116  0.5788  1 Mo 1.79
O  0.4272  0.2307  0.0814  1 Mo 1.75
O  0.4381  0.2159  0.7745  1 P 1.54
O  0.4414  0.7159  0.2778  1 P 1.54
O  0.5586  0.2841  0.7222  1 P 1.54
O  0.5619  0.7841  0.2255  1 P 1.54
O  0.5728  0.7693  0.9186  1 Mo 1.75
O  0.6048  0.5884  0.4212  1 Mo 1.79
O  0.6409  0.0710  0.7324  1 P 1.56
O  0.6493  0.3458  0.4186  1 Mo 1.75
O  0.6614  0.4290  0.0700  1 P 1.56
O  0.6672  0.1836  0.0788  1 Mo 1.79
O  0.8328  0.9116  0.5164  1 Mo 1.79
O  0.8386  0.9085  0.7676  1 P 1.56
O  0.8507  0.2693  0.6965  1 Mo 1.75
O  0.8591  0.5915  0.4300  1 P 1.56
O  0.8952  0.3164  0.9836  1 Mo 1.79
O  0.9272  0.8458  0.1965  1 Mo 1.75
O  0.9381  0.1637  0.2222  1 P 1.54
O  0.9414  0.6637  0.7255  1 P 1.54

Output
space-group type = Ibca, No. 73
ΔE_f (raw) = -2074 meV per atom

Entry 6:
Entry from Alexandria: TlBiMo2O8 after structural relaxation (GGA-PBEsol).

Cell: 11.6186 11.7490 5.2283 Å, 90.00 92.81 90.00°
Last column: nearest neighbours and their distance in Å.
Positions (direct):
Tl  0.1199  0.1258  0.4824  8 O 2.78-2.98
Tl  0.1199  0.3742  0.9824  8 O 2.78-2.98
Tl  0.8801  0.6258  0.0176  8 O 2.78-2.98
Tl  0.8801  0.8742  0.5176  8 O 2.78-2.98
Bi  0.3802  0.6245  0.9891  7 O 2.30-2.54
Bi  0.3802  0.8755  0.4891  7 O 2.30-2.54
Bi  0.6198  0.1245  0.5109  7 O 2.30-2.54
Bi  0.6198  0.3755  0.0109  7 O 2.30-2.54
Mo  0.1531  0.6481  0.4960  4 O 1.72-1.90
Mo  0.1531  0.8519  0.9960  4 O 1.72-1.90
Mo  0.3876  0.1176  0.9775  4 O 1.72-1.81
Mo  0.3876  0.3824  0.4775  4 O 1.72-1.81
Mo  0.6124  0.6176  0.5225  4 O 1.72-1.81
Mo  0.6124  0.8824  0.0225  4 O 1.72-1.81
Mo  0.8469  0.1481  0.0040  4 O 1.72-1.90
Mo  0.8469  0.3519  0.5040  4 O 1.72-1.90
O  0.0601  0.7230  0.6944  1 Mo 1.77
O  0.0601  0.7770  0.1944  1 Mo 1.77
O  0.0744  0.5520  0.3126  1 Mo 1.72
O  0.0744  0.9480  0.8126  1 Mo 1.72
O  0.2316  0.5579  0.7229  1 Mo 1.80
O  0.2316  0.9421  0.2229  1 Mo 1.80
O  0.2738  0.7110  0.3101  1 Mo 1.90
O  0.2738  0.7890  0.8101  1 Mo 1.90
O  0.2821  0.2017  0.0971  1 Mo 1.72
O  0.2821  0.2983  0.5971  1 Mo 1.72
O  0.3195  0.0326  0.7337  1 Mo 1.77
O  0.3195  0.4674  0.2337  1 Mo 1.77
O  0.4541  0.0376  0.2418  1 Mo 1.81
O  0.4541  0.4624  0.7418  1 Mo 1.81
O  0.4993  0.2032  0.8458  1 Mo 1.80
O  0.4993  0.2968  0.3458  1 Mo 1.80
O  0.5007  0.7032  0.6542  1 Mo 1.80
O  0.5007  0.7968  0.1542  1 Mo 1.80
O  0.5459  0.5376  0.2582  1 Mo 1.81
O  0.5459  0.9624  0.7582  1 Mo 1.81
O  0.6805  0.5326  0.7663  1 Mo 1.77
O  0.6805  0.9674  0.2663  1 Mo 1.77
O  0.7179  0.7017  0.4029  1 Mo 1.72
O  0.7179  0.7983  0.9029  1 Mo 1.72
O  0.7262  0.2110  0.1899  1 Mo 1.90
O  0.7262  0.2890  0.6899  1 Mo 1.90
O  0.7684  0.0579  0.7771  1 Mo 1.80
O  0.7684  0.4421  0.2771  1 Mo 1.80
O  0.9256  0.0520  0.1874  1 Mo 1.72
O  0.9256  0.4480  0.6874  1 Mo 1.72
O  0.9399  0.2230  0.8056  1 Mo 1.77
O  0.9399  0.2770  0.3056  1 Mo 1.77

Output
space-group type = P2_1/c, No. 14
ΔE_f (raw) = -1744 meV per atom

Entry 7:
Entry from Alexandria: BiMoOs3 after structural relaxation (GGA-PBEsol).

Cell: 4.8197 4.8197 4.8197 Å, 90.00 90.00 90.00°
Last column: nearest neighbours and their distance in Å.
Positions (direct):
Bi  0.0000  0.0000  0.0000  6 Os 2.41
Mo  0.5000  0.5000  0.5000  12 Os 3.41
Os  0.0000  0.0000  0.5000  2 Bi 2.41
Os  0.0000  0.5000  0.0000  2 Bi 2.41
Os  0.5000  0.0000  0.0000  2 Bi 2.41

Output
energy relative to the elements = 17.16 eV per formula unit
space-group type = Pm-3m, No. 221

Entry 8:
Entry from Alexandria: BiMo2OsRh after structural relaxation (GGA-PBEsol).

Cell: 4.9022 4.9022 4.6855 Å, 90.00 90.00 90.00°
Last column: nearest neighbours and their distance in Å.
Positions (direct):
Bi  0.0000  0.0000  0.0000  2 Rh 2.34, 4 Mo 2.45
Mo  0.0000  0.5000  0.0000  2 Bi 2.45
Mo  0.5000  0.0000  0.0000  2 Bi 2.45
Os  0.5000  0.5000  0.5000  8 Mo 3.39, 4 Rh 3.47
Rh  0.0000  0.0000  0.5000  2 Bi 2.34

Output
energy relative to the elements = 14.78 eV per formula unit
space-group type = P4/mmm, No. 123

Entry 9:
Entry from Alexandria: BiMoPS2 after structural relaxation (GGA-PBEsol).

Cell: 5.0832 5.0832 5.1194 Å, 90.00 90.00 90.00°
Last column: nearest neighbours and their distance in Å.
Positions (direct):
Bi  0.0000  0.0000  0.0000  4 S 2.54, 2 P 2.56
Mo  0.5000  0.5000  0.5000  4 P 3.59, 8 S 3.61
P  0.0000  0.0000  0.5000  2 Bi 2.56
S  0.0000  0.5000  0.0000  2 Bi 2.54
S  0.5000  0.0000  0.0000  2 Bi 2.54

Output
space-group type = P4/mmm, No. 123
ΔE_f (raw) = 1507 meV per atom

Number 1: size of the total moment 0.00 μB per cell. Number 2: size of the total moment 0.00 μB per cell. Number 3: size of the total moment 3.50 μB per cell. Number 4: size of the total moment 1.57 μB per cell. Number 5: size of the total moment 0.00 μB per cell. Number 6: size of the total moment 0.00 μB per cell. Number 7: size of the total moment 1.93 μB per cell. Number 8: size of the total moment 2.14 μB per cell. Number 9: size of the total moment 2.94 μB per cell.